#1
PBE DyTm3Pb2, optimized geometry; density of states at the Fermi level = 3.38 states/eV/f.u.
1.0
4.528 0.000 0.000
0.000 4.528 0.000
0.000 0.000 8.440
Pb Dy Tm
2 1 3
direct
0.500 0.000 0.713 Pb
0.000 0.500 0.287 Pb
0.500 0.500 0.000 Dy
0.000 0.000 0.000 Tm
0.500 0.000 0.339 Tm
0.000 0.500 0.661 Tm

=====

#2
PBE DyTm3Pb2, optimized geometry; density of states at the Fermi level = 6.27 states/eV/f.u.
1.0
-4.392 1.993 0.704
-2.987 -7.657 3.041
5.808 4.915 5.451
Pb Tm Dy
4 6 2
direct
0.651 0.651 0.303 Pb
0.349 0.849 0.697 Pb
0.651 0.151 0.303 Pb
0.349 0.349 0.697 Pb
0.826 0.076 0.652 Tm
0.826 0.576 0.652 Tm
0.174 0.424 0.348 Tm
0.174 0.924 0.348 Tm
0.500 0.250 0.000 Tm
0.500 0.750 0.000 Tm
0.000 0.000 0.000 Dy
0.000 0.500 0.000 Dy

=====

The structure with the least stability is #2.

=====

#1
PBE DyTm2Pb2, optimized geometry; density of states at the Fermi level = 3.03 states/eV/f.u.
1.0
4.562 0.000 0.000
0.000 6.605 0.000
0.000 0.000 10.086
Tm Dy Pb
4 2 4
direct
0.000 0.750 0.643 Tm
0.500 0.250 0.767 Tm
0.000 0.250 0.357 Tm
0.500 0.750 0.233 Tm
0.000 0.500 0.000 Dy
0.000 0.000 0.000 Dy
0.500 0.500 0.500 Pb
0.500 0.250 0.134 Pb
0.500 0.750 0.866 Pb
0.500 0.000 0.500 Pb

=====

#2
PBE DyTm2Pb2, optimized geometry; density of states at the Fermi level = 2.91 states/eV/f.u.
1.0
-1.474 0.169 -4.684
6.069 -1.282 -1.956
-1.085 -9.088 2.590
Dy Pb Tm
2 4 4
direct
0.608 0.021 0.216 Dy
0.392 0.521 0.784 Dy
0.797 0.526 0.594 Pb
0.203 0.026 0.406 Pb
0.426 0.022 0.852 Pb
0.574 0.522 0.148 Pb
0.186 0.525 0.372 Tm
0.814 0.025 0.628 Tm
0.001 0.272 0.001 Tm
0.999 0.772 0.999 Tm

=====

The structure with the least stability is #1.

=====

#1
PBE DyY3Pb2, optimized geometry; density of states at the Fermi level = 7.94 states/eV/f.u.
1.0
-5.184 5.022 -1.569
-0.200 -2.455 -7.196
-2.490 -6.076 6.162
Y Dy Pb
6 2 4
direct
0.790 0.040 0.581 Y
0.790 0.540 0.581 Y
0.210 0.460 0.419 Y
0.500 0.750 0.000 Y
0.210 0.960 0.419 Y
0.500 0.250 0.000 Y
0.000 0.500 0.000 Dy
0.000 0.000 0.000 Dy
0.538 0.357 0.715 Pb
0.176 0.857 0.715 Pb
0.462 0.643 0.285 Pb
0.824 0.143 0.285 Pb

=====

#2
PBE DyY3Pb2, optimized geometry; density of states at the Fermi level = 3.98 states/eV/f.u.
1.0
4.573 0.000 0.000
0.000 4.573 0.000
0.000 0.000 8.565
Y Dy Pb
3 1 2
direct
0.500 0.000 0.343 Y
0.000 0.500 0.657 Y
0.000 0.000 0.000 Y
0.500 0.500 0.000 Dy
0.500 0.000 0.716 Pb
0.000 0.500 0.284 Pb

=====

The structure with the least stability is #1.

=====

#1
PBE DyZnPb2, optimized geometry; density of states at the Fermi level = 1.72 states/eV/f.u.
1.0
4.490 0.000 0.000
0.000 4.752 0.000
0.000 0.000 4.752
Pb Zn Dy
2 1 1
direct
0.000 0.000 0.500 Pb
0.000 0.500 0.000 Pb
0.500 0.500 0.500 Zn
0.500 0.000 0.000 Dy

=====

#2
PBE DyZnPb2, optimized geometry; density of states at the Fermi level = 2.40 states/eV/f.u.
1.0
4.911 0.000 0.000
2.456 4.253 0.000
2.456 1.418 5.096
Zn Dy Pb
1 1 2
direct
0.500 0.500 0.500 Zn
0.000 0.000 0.000 Dy
0.764 0.764 0.707 Pb
0.236 0.236 0.293 Pb

=====

The structure with the least stability is #2.

=====

#1
PBE Dy4Pd, optimized geometry; density of states at the Fermi level = 9.24 states/eV/f.u.
1.0
5.455 0.000 0.000
0.000 5.455 0.000
0.000 0.000 5.455
Dy Pd
4 1
direct
0.500 0.500 0.000 Dy
0.000 0.000 0.000 Dy
0.500 0.000 0.500 Dy
0.000 0.500 0.500 Dy
0.500 0.500 0.500 Pd

=====

#2
PBE Dy4Pd, optimized geometry; density of states at the Fermi level = 5.72 states/eV/f.u.
1.0
7.301 -0.467 0.001
-3.245 6.557 0.001
-2.027 -3.043 6.309
Dy Pd
8 2
direct
0.728 0.384 0.244 Dy
0.140 0.484 0.756 Dy
0.275 0.521 0.343 Dy
0.771 0.025 0.843 Dy
0.634 0.478 0.744 Dy
0.178 0.931 0.657 Dy
0.734 0.890 0.256 Dy
0.181 0.928 0.157 Dy
0.581 0.081 0.500 Pd
0.331 0.331 0.000 Pd

=====

The structure with the least stability is #1.

=====

#1
PBE Pm2DyPd, optimized geometry; density of states at the Fermi level = 3.07 states/eV/f.u.
1.0
3.474 0.000 0.000
1.737 3.008 0.000
1.737 1.003 11.239
Dy Pm Pd
1 2 1
direct
0.500 0.500 0.500 Dy
0.921 0.921 0.238 Pm
0.079 0.079 0.762 Pm
0.000 0.000 0.000 Pd

=====

#2
PBE Pm2DyPd, optimized geometry; density of states at the Fermi level = 4.08 states/eV/f.u.
1.0
6.510 0.000 0.000
0.000 7.137 0.000
0.000 0.000 10.026
Pm Dy Pd
8 4 4
direct
0.328 0.183 0.440 Pm
0.328 0.183 0.060 Pm
0.672 0.817 0.940 Pm
0.672 0.817 0.560 Pm
0.172 0.683 0.440 Pm
0.828 0.317 0.940 Pm
0.828 0.317 0.560 Pm
0.172 0.683 0.060 Pm
0.642 0.528 0.250 Dy
0.358 0.472 0.750 Dy
0.858 0.028 0.250 Dy
0.142 0.972 0.750 Dy
0.442 0.886 0.250 Pd
0.058 0.386 0.250 Pd
0.558 0.114 0.750 Pd
0.942 0.614 0.750 Pd

=====

#3
PBE Pm2DyPd, optimized geometry; density of states at the Fermi level = 5.53 states/eV/f.u.
1.0
-1.222 -3.251 -1.208
3.045 -0.393 -2.023
3.803 -3.832 6.469
Pd Dy Pm
1 1 2
direct
0.500 0.500 0.000 Pd
0.500 0.500 0.500 Dy
0.000 0.000 0.797 Pm
0.000 0.000 0.203 Pm

=====

The structure with the least stability is #1.